i) The following is a PBE calculation of crystalline La3SmTl3 at its relaxed geometry, from Alexandria via LeMat-Bulk.

```
28
Lattice="9.741 0.000 0.000 0.000 9.741 0.000 0.000 0.000 9.741" Properties=species:S:1:pos:R:3 pbc="T T T"
Sm 4.139 4.139 4.139
Tl 7.355 6.140 9.727
La 0.691 4.179 5.562
La 5.562 0.691 4.179
La 4.179 5.562 0.691
La 1.681 8.060 3.190
Tl 8.471 0.015 2.484
Tl 4.856 7.257 3.601
La 3.190 1.681 8.060
La 8.060 3.190 1.681
Tl 3.601 4.856 7.257
Tl 6.140 9.727 7.355
Sm 5.602 9.009 0.732
Tl 7.257 3.601 4.856
La 1.702 1.702 1.702
La 8.040 6.572 3.169
La 9.050 9.050 9.050
Tl 4.885 2.386 1.270
Tl 2.386 1.270 4.885
La 3.169 8.040 6.572
La 6.572 3.169 8.040
Sm 9.009 0.732 5.602
Tl 1.270 4.885 2.386
Tl 2.484 8.471 0.015
Tl 0.015 2.484 8.471
La 6.551 6.551 6.551
Tl 9.727 7.355 6.140
Sm 0.732 5.602 9.009
```


ii) The following is a PBE calculation of crystalline La3SmTl3 at its relaxed geometry, from Alexandria via LeMat-Bulk.

```
14
Lattice="6.934 0.647 0.266 -2.509 6.496 0.266 -0.460 -0.743 9.999" Properties=species:S:1:pos:R:3 pbc="T T T"
Tl -0.203 -0.327 7.714
La 5.029 1.313 5.265
Tl 4.167 6.728 2.817
Sm 2.748 4.437 9.929
La 2.439 3.938 3.468
Sm 1.216 1.963 0.602
La -0.269 5.108 0.266
La 1.525 2.462 7.063
La 4.693 2.035 0.266
Tl -0.968 2.955 2.775
La -1.065 5.088 5.265
Tl 3.077 0.449 2.775
Tl 4.933 3.446 7.756
Tl 0.887 5.951 7.756
```


Name the least stable of them. ii).


i) The following is a PBE calculation of crystalline LaSm2Tl at its relaxed geometry, from Alexandria via LeMat-Bulk.

```
4
Lattice="5.579 0.000 0.000 2.790 4.832 0.000 2.790 1.611 4.555" Properties=species:S:1:pos:R:3 pbc="T T T"
Sm 2.790 1.611 1.139
Sm 8.369 4.832 3.417
Tl 5.579 3.221 2.278
La 0.000 0.000 0.000
```


ii) The following is a PBE calculation of crystalline LaSm2Tl at its relaxed geometry, from Alexandria via LeMat-Bulk.

```
4
Lattice="-0.417 2.788 -2.442 -3.704 -0.392 0.185 -0.293 6.040 6.945" Properties=species:S:1:pos:R:3 pbc="T T T"
Sm -0.227 4.685 5.388
Sm -0.066 1.354 1.558
Tl -2.061 1.198 -1.129
La -2.207 4.218 2.344
```


iii) The following is a PBE calculation of crystalline LaSm2Tl at its relaxed geometry, from Alexandria via LeMat-Bulk.

```
4
Lattice="3.751 0.000 0.001 1.876 3.249 0.001 1.879 1.085 11.027" Properties=species:S:1:pos:R:3 pbc="T T T"
Sm 1.876 1.083 2.491
Tl 3.751 2.165 0.005
Sm 1.879 1.085 8.527
La 3.753 2.167 5.520
```


Name the least stable of them. i).


i) The following is a PBE calculation of crystalline La5Sm2Tl at its relaxed geometry, from Alexandria via LeMat-Bulk.

```
8
Lattice="7.008 -0.499 -2.093 -4.014 5.766 -2.089 0.136 0.236 6.874" Properties=species:S:1:pos:R:3 pbc="T T T"
La 4.844 1.071 4.765
La 1.967 4.455 0.179
Tl 2.764 3.851 -3.254
La 1.509 1.387 5.714
Sm -1.672 4.642 1.049
Sm 3.962 1.727 1.410
La -0.525 4.460 4.565
La 0.473 1.828 2.280
```


ii) The following is a PBE calculation of crystalline La5Sm2Tl at its relaxed geometry, from Alexandria via LeMat-Bulk.

```
16
Lattice="5.004 0.000 0.000 0.000 7.309 0.000 0.000 0.000 14.806" Properties=species:S:1:pos:R:3 pbc="T T T"
La 0.000 3.672 3.581
Sm 2.502 5.398 13.068
La 2.502 1.820 12.966
La 2.502 5.488 1.839
Sm 2.502 1.743 9.140
La 2.502 5.475 9.242
La 0.000 3.637 11.224
Sm 2.502 1.911 1.738
La 0.000 0.000 0.000
La 0.000 0.018 3.822
La 0.000 7.291 10.984
Tl 0.000 0.000 7.403
Sm 2.502 5.566 5.665
La 0.000 3.654 7.403
La 2.502 1.834 5.564
Tl 0.000 3.654 0.000
```


Name the least stable of them. ii).